Entry from Alexandria: an optimized crystal structure of KBa3Pu2O9 (PBE).

a = 6.2771 Å, b = 6.2771 Å, c = 7.7188 Å
α = 90.00°, β = 90.00°, γ = 120.00°
With the nearest neighbours (Å) after each atom.
Positions (direct):
K  0.0000  0.0000  0.5000  6 O 2.47
Ba  0.3333  0.6667  0.6416  12 O 3.04-3.31
Ba  0.0000  0.0000  0.0000  12 O 3.11-3.14
Ba  0.6667  0.3333  0.3584  12 O 3.04-3.31
Pu  0.3333  0.6667  0.1556  6 O 2.02-2.17
Pu  0.6667  0.3333  0.8444  6 O 2.02-2.17
O  0.8170  0.1830  0.6897  1 Pu 2.02
O  0.8170  0.6340  0.6897  1 Pu 2.02
O  0.3660  0.1830  0.6897  1 Pu 2.02
O  0.6340  0.8170  0.3103  1 Pu 2.02
O  0.1830  0.3660  0.3103  1 Pu 2.02
O  0.1830  0.8170  0.3103  1 Pu 2.02
O  0.5000  0.0000  0.0000  2 Pu 2.17
O  0.0000  0.5000  0.0000  2 Pu 2.17
O  0.5000  0.5000  0.0000  2 Pu 2.17

Properties
crystal system: trigonal
energy relative to the elements, uncorrected: -2641 meV/atom
size of the total moment: 5.00 μB/cell
Fermi-level density of states: 9.75 states/eV/f.u.